# Sr2PrAlS5

Crystalline Sr2PrAlS5 at its relaxed geometry (PBE-GGA, Alexandria).

* formation energy from raw total energies: -1820 meV per atom

Lattice parameters (Å, degrees): 4.016 9.333 12.448 90.00 90.00 102.42
Atoms (fractional coordinates):
S: 0.038 0.077 0.023
S: 0.962 0.923 0.523
S: 0.674 0.348 0.869
S: 0.326 0.652 0.369
S: 0.357 0.714 0.009
S: 0.496 0.993 0.770
S: 0.504 0.007 0.270
S: 0.296 0.592 0.685
S: 0.704 0.408 0.185
S: 0.643 0.286 0.509
Al: 0.446 0.892 0.426
Al: 0.554 0.108 0.926
Pr: 0.793 0.587 0.530
Pr: 0.207 0.413 0.030
Sr: 0.888 0.776 0.183
Sr: 0.120 0.240 0.330
Sr: 0.880 0.760 0.830
Sr: 0.112 0.224 0.683

# KLaRe2

Crystalline KLaRe2 at its relaxed geometry (PBE-GGA, Alexandria).

* energy of formation: 1.88 eV/atom
* offset from the most stable computed form: 1.373 eV per atom

Lattice parameters (Å, degrees): 5.099 5.099 5.099 60.00 60.00 60.00
Each line ends with the local moment (μB).
Atoms (fractional coordinates):
K: 0.000 0.000 0.000  0.04
Re: 0.750 0.750 0.750  1.59
Re: 0.250 0.250 0.250  1.59
La: 0.500 0.500 0.500  0.02

# AlP2CO

Crystalline AlP2CO at its relaxed geometry (PBE-GGA, Alexandria).

* offset from the most stable computed form: 0.242 eV per atom
* formation energy from raw total energies: 1086 meV per atom

Lattice parameters (Å, degrees): 4.778 4.778 3.350 90.00 90.00 90.00
Atoms (fractional coordinates):
P: 0.000 0.500 0.000
P: 0.500 0.000 0.000
Al: 0.000 0.000 0.000
O: 0.000 0.000 0.500
C: 0.500 0.500 0.500

# KZr2Co

Crystalline KZr2Co at its relaxed geometry (PBE-GGA, Alexandria).

* energy of formation: 0.26 eV/atom
* offset from the most stable computed form: 0.000 eV per atom

Lattice parameters (Å, degrees): 3.909 3.909 9.413 78.06 78.06 59.98
Atoms (fractional coordinates):
K: 0.750 0.750 0.750
Zr: 0.543 0.543 0.372
Zr: 0.957 0.957 0.128
Co: 0.250 0.250 0.250

Number 1: DOS(E_F) 0.000 states/eV per atom. Number 2: DOS(E_F) 0.924 states/eV per atom. Number 3: DOS(E_F) 0.699 states/eV per atom. Number 4: DOS(E_F) 1.226 states/eV per atom.